4
Lattice="-2.277 -0.864 1.449 -0.302 -2.739 0.664 3.163 0.070 7.783" Properties=species:S:1:pos:R:3 comment="Mn2TlFe PBEsol relaxed" formation_energy_kj_per_mol_atoms=69 m_tot_mub_per_atom=1.36 space_group="R3m, No. 160" relative_energy_ev_per_atom=0.268 pbc="T T T"
Mn 0.581 -2.604 7.674
Mn -2.561 -3.597 2.145
Fe 0.002 -0.929 2.221
Tl 0.274 -1.772 4.917

6
Lattice="5.063 0.000 0.000 2.532 4.385 0.000 2.532 1.462 4.134" Properties=species:S:1:pos:R:3 comment="MgTc4Mo PBEsol relaxed" formation_energy_kj_per_mol_atoms=20 m_tot_mub_per_atom=0.00 space_group="F-43m, No. 216" pbc="T T T"
Tc 5.063 1.467 2.582
Mg 2.532 1.462 1.034
Tc 3.802 3.652 2.582
Tc 5.063 2.923 0.522
Mo 0.000 0.000 0.000
Tc 6.325 3.652 2.582

10
Lattice="3.831 0.000 0.000 0.000 7.096 0.000 0.000 0.000 7.096" Properties=species:S:1:pos:R:3 comment="HfMg2As2 PBEsol relaxed" formation_energy_kj_per_mol_atoms=-50 m_tot_mub_per_atom=0.00 space_group="P4/mbm, No. 127" pbc="T T T"
As 0.000 4.662 1.114
As 0.000 2.435 5.983
As 0.000 5.983 4.662
Hf 0.000 0.000 0.000
Mg 1.916 6.006 2.458
Mg 1.916 1.090 4.639
Mg 1.916 2.458 1.090
As 0.000 1.114 2.435
Mg 1.916 4.639 6.006
Hf 0.000 3.548 3.548

4
Lattice="2.798 0.000 0.000 1.399 2.423 0.000 1.399 0.808 9.523" Properties=species:S:1:pos:R:3 comment="ScRe2Au PBEsol relaxed" formation_energy_kj_per_mol_atoms=38 m_tot_mub_per_atom=0.00 space_group="R-3m, No. 166" relative_energy_ev_per_atom=0.319 pbc="T T T"
Sc 2.798 1.615 4.761
Au 0.000 0.000 0.000
Re 4.197 2.423 7.176
Re 1.399 0.808 2.347